Compound: VP2H4O9
Source: the Alexandria database
Functional: GGA-PBEsol
Structure: optimized geometry Values from VASP.

```
&SYSTEM
  ibrav = 0, nat = 64, ntyp = 4
/
ATOMIC_SPECIES
V 50.94 V.upf
P 30.97 P.upf
H 1.01 H.upf
O 16.00 O.upf
ATOMIC_POSITIONS crystal
V 0.250 0.250 0.207
V 0.250 0.250 0.707
V 0.750 0.750 0.293
V 0.750 0.750 0.793
P 0.046 0.546 0.250
P 0.046 0.954 0.750
P 0.454 0.546 0.750
P 0.454 0.954 0.250
P 0.546 0.046 0.750
P 0.546 0.454 0.250
P 0.954 0.046 0.250
P 0.954 0.454 0.750
H 0.087 0.717 0.038
H 0.087 0.783 0.538
H 0.217 0.587 0.462
H 0.217 0.913 0.962
H 0.283 0.587 0.962
H 0.283 0.913 0.462
H 0.413 0.717 0.538
H 0.413 0.783 0.038
H 0.587 0.217 0.962
H 0.587 0.283 0.462
H 0.717 0.087 0.538
H 0.717 0.413 0.038
H 0.783 0.087 0.038
H 0.783 0.413 0.538
H 0.913 0.217 0.462
H 0.913 0.283 0.962
O 0.079 0.118 0.746
O 0.079 0.382 0.246
O 0.118 0.079 0.246
O 0.118 0.421 0.746
O 0.118 0.622 0.418
O 0.118 0.878 0.918
O 0.122 0.618 0.082
O 0.122 0.882 0.582
O 0.250 0.250 0.493
O 0.250 0.250 0.993
O 0.378 0.618 0.582
O 0.378 0.882 0.082
O 0.382 0.079 0.746
O 0.382 0.421 0.246
O 0.382 0.622 0.918
O 0.382 0.878 0.418
O 0.421 0.118 0.246
O 0.421 0.382 0.746
O 0.579 0.618 0.254
O 0.579 0.882 0.754
O 0.618 0.122 0.582
O 0.618 0.378 0.082
O 0.618 0.579 0.754
O 0.618 0.921 0.254
O 0.622 0.118 0.918
O 0.622 0.382 0.418
O 0.750 0.750 0.007
O 0.750 0.750 0.507
O 0.878 0.118 0.418
O 0.878 0.382 0.918
O 0.882 0.122 0.082
O 0.882 0.378 0.582
O 0.882 0.579 0.254
O 0.882 0.921 0.754
O 0.921 0.618 0.754
O 0.921 0.882 0.254
CELL_PARAMETERS angstrom
9.010 0.000 0.000
0.000 9.010 0.000
0.000 0.000 7.610
```

---

! GGA-PBEsol P4H3W2O16, optimized geometry; values from VASP
&SYSTEM
  ibrav = 0, nat = 25, ntyp = 4
/
ATOMIC_SPECIES
P 30.97 P.upf
H 1.01 H.upf
W 183.84 W.upf
O 16.00 O.upf
ATOMIC_POSITIONS crystal
P 0.112 0.230 0.150
P 0.369 0.271 0.657
P 0.631 0.729 0.343
P 0.888 0.770 0.850
H 0.138 0.576 0.601
H 0.500 0.000 0.000
H 0.862 0.424 0.399
W 0.000 0.000 0.500
W 0.500 0.500 0.000
O 0.024 0.206 0.334
O 0.167 0.694 0.939
O 0.172 0.138 0.662
O 0.256 0.451 0.552
O 0.263 0.393 0.154
O 0.285 0.043 0.078
O 0.362 0.839 0.433
O 0.417 0.327 0.831
O 0.583 0.673 0.169
O 0.638 0.161 0.567
O 0.715 0.957 0.922
O 0.737 0.607 0.846
O 0.744 0.549 0.448
O 0.828 0.862 0.338
O 0.833 0.306 0.061
O 0.976 0.794 0.666
CELL_PARAMETERS angstrom
4.980 0.000 0.000
1.883 6.952 0.000
0.256 -0.067 8.180
! * DOS(E_F): 6.729 states/eV/cell

---

! GGA-PBEsol ZnPH3O5, optimized geometry; values from VASP
&SYSTEM
  ibrav = 0, nat = 60, ntyp = 4
/
ATOMIC_SPECIES
Zn 65.41 Zn.upf
P 30.97 P.upf
H 1.01 H.upf
O 16.00 O.upf
ATOMIC_POSITIONS crystal
Zn 0.005 0.062 0.302
Zn 0.140 0.674 0.947
Zn 0.347 0.886 0.091
Zn 0.653 0.114 0.909
Zn 0.860 0.326 0.053
Zn 0.995 0.938 0.698
P 0.148 0.139 0.866
P 0.321 0.679 0.366
P 0.347 0.288 0.115
P 0.653 0.712 0.885
P 0.679 0.321 0.634
P 0.852 0.861 0.134
H 0.017 0.791 0.523
H 0.169 0.301 0.383
H 0.177 0.523 0.778
H 0.251 0.038 0.511
H 0.298 0.302 0.696
H 0.351 0.664 0.762
H 0.354 0.505 0.214
H 0.362 0.405 0.502
H 0.368 0.066 0.606
H 0.632 0.934 0.394
H 0.638 0.595 0.498
H 0.646 0.495 0.786
H 0.649 0.336 0.238
H 0.702 0.698 0.304
H 0.749 0.962 0.489
H 0.823 0.477 0.222
H 0.831 0.699 0.617
H 0.983 0.209 0.477
O 0.064 0.812 0.066
O 0.089 0.192 0.409
O 0.138 0.976 0.820
O 0.139 0.814 0.398
O 0.162 0.408 0.052
O 0.178 0.318 0.762
O 0.195 0.649 0.783
O 0.276 0.476 0.434
O 0.281 0.093 0.177
O 0.288 0.977 0.590
O 0.332 0.101 0.939
O 0.340 0.683 0.239
O 0.384 0.365 0.216
O 0.444 0.713 0.965
O 0.463 0.288 0.605
O 0.537 0.712 0.395
O 0.556 0.287 0.035
O 0.616 0.635 0.784
O 0.660 0.317 0.761
O 0.668 0.899 0.061
O 0.712 0.023 0.410
O 0.719 0.907 0.823
O 0.724 0.524 0.566
O 0.805 0.351 0.217
O 0.822 0.682 0.238
O 0.838 0.592 0.948
O 0.861 0.186 0.602
O 0.862 0.024 0.180
O 0.911 0.808 0.591
O 0.936 0.188 0.934
CELL_PARAMETERS angstrom
6.400 0.000 0.000
1.140 7.552 0.000
1.887 3.357 11.712
! * DOS(E_F): 0.000 states/eV/cell

---

! GGA-PBEsol Zn2PHO5, optimized geometry; values from VASP
&SYSTEM
  ibrav = 0, nat = 18, ntyp = 4
/
ATOMIC_SPECIES
Zn 65.41 Zn.upf
P 30.97 P.upf
H 1.01 H.upf
O 16.00 O.upf
ATOMIC_POSITIONS crystal
Zn 0.030 0.238 0.311
Zn 0.387 0.748 0.007
Zn 0.613 0.252 0.993
Zn 0.970 0.762 0.689
P 0.164 0.251 0.776
P 0.836 0.749 0.224
H 0.446 0.408 0.321
H 0.554 0.592 0.679
O 0.029 0.748 0.011
O 0.054 0.114 0.634
O 0.229 0.512 0.651
O 0.363 0.390 0.205
O 0.403 0.118 0.832
O 0.597 0.882 0.168
O 0.637 0.610 0.795
O 0.771 0.488 0.349
O 0.946 0.886 0.366
O 0.971 0.252 0.989
CELL_PARAMETERS angstrom
5.512 0.000 0.000
0.263 5.668 0.000
1.397 1.371 6.204
! * DOS(E_F): 0.000 states/eV/cell
! * energy relative to the lowest polymorph listed for this composition: 0 kJ/mol of formula units

---

! GGA-PBEsol Zn2PHO5, optimized geometry; values from VASP
&SYSTEM
  ibrav = 0, nat = 36, ntyp = 4
/
ATOMIC_SPECIES
Zn 65.41 Zn.upf
P 30.97 P.upf
H 1.01 H.upf
O 16.00 O.upf
ATOMIC_POSITIONS crystal
Zn 0.000 0.000 0.247
Zn 0.000 0.000 0.753
Zn 0.137 0.364 0.000
Zn 0.363 0.864 0.500
Zn 0.500 0.500 0.253
Zn 0.500 0.500 0.747
Zn 0.637 0.136 0.500
Zn 0.863 0.636 0.000
P 0.250 0.241 0.500
P 0.250 0.741 0.000
P 0.750 0.259 0.000
P 0.750 0.759 0.500
H 0.227 0.076 0.000
H 0.273 0.576 0.500
H 0.727 0.424 0.500
H 0.773 0.924 0.000
O 0.081 0.149 0.500
O 0.113 0.609 0.000
O 0.116 0.125 0.000
O 0.233 0.851 0.209
O 0.233 0.851 0.791
O 0.267 0.351 0.291
O 0.267 0.351 0.709
O 0.384 0.625 0.500
O 0.387 0.109 0.500
O 0.419 0.649 0.000
O 0.581 0.351 0.000
O 0.613 0.891 0.500
O 0.616 0.375 0.500
O 0.733 0.649 0.291
O 0.733 0.649 0.709
O 0.767 0.149 0.209
O 0.767 0.149 0.791
O 0.884 0.875 0.000
O 0.887 0.391 0.000
O 0.919 0.851 0.500
CELL_PARAMETERS angstrom
8.069 0.000 0.000
0.000 8.285 0.000
0.000 0.000 5.982
! * DOS(E_F): 0.000 states/eV/cell
! * energy relative to the lowest polymorph listed for this composition: 9 kJ/mol of formula units

---

! GGA-PBEsol Zn6P4H14O23, optimized geometry; values from VASP
&SYSTEM
  ibrav = 0, nat = 94, ntyp = 4
/
ATOMIC_SPECIES
Zn 65.41 Zn.upf
P 30.97 P.upf
H 1.01 H.upf
O 16.00 O.upf
ATOMIC_POSITIONS crystal
Zn 0.032 0.134 0.390
Zn 0.075 0.608 0.881
Zn 0.134 0.331 0.755
Zn 0.320 0.398 0.498
Zn 0.424 0.116 0.387
Zn 0.465 0.605 0.878
Zn 0.535 0.395 0.122
Zn 0.576 0.884 0.613
Zn 0.680 0.602 0.502
Zn 0.866 0.669 0.245
Zn 0.925 0.392 0.119
Zn 0.968 0.866 0.610
P 0.182 0.437 0.283
P 0.209 0.084 0.629
P 0.292 0.299 0.974
P 0.323 0.642 0.635
P 0.677 0.358 0.365
P 0.708 0.701 0.026
P 0.791 0.916 0.371
P 0.818 0.563 0.717
H 0.066 0.895 0.790
H 0.070 0.866 0.092
H 0.129 0.153 0.159
H 0.160 0.785 0.205
H 0.199 0.001 0.897
H 0.237 0.772 0.984
H 0.250 0.885 0.456
H 0.252 0.596 0.059
H 0.256 0.017 0.014
H 0.307 0.900 0.323
H 0.319 0.669 0.304
H 0.382 0.899 0.789
H 0.428 0.143 0.158
H 0.462 0.753 0.215
H 0.538 0.247 0.785
H 0.572 0.857 0.842
H 0.618 0.101 0.211
H 0.681 0.331 0.696
H 0.693 0.100 0.677
H 0.744 0.983 0.986
H 0.748 0.404 0.941
H 0.750 0.115 0.544
H 0.763 0.228 0.016
H 0.801 0.999 0.103
H 0.840 0.215 0.795
H 0.871 0.847 0.841
H 0.930 0.134 0.908
H 0.934 0.105 0.210
O 0.004 0.479 0.243
O 0.018 0.176 0.205
O 0.050 0.801 0.174
O 0.066 0.060 0.571
O 0.122 0.396 0.986
O 0.189 0.758 0.571
O 0.194 0.252 0.620
O 0.203 0.526 0.367
O 0.205 0.268 0.350
O 0.205 0.952 0.982
O 0.206 0.988 0.758
O 0.237 0.669 0.978
O 0.274 0.963 0.379
O 0.295 0.152 0.077
O 0.296 0.624 0.768
O 0.306 0.473 0.175
O 0.312 0.261 0.857
O 0.330 0.487 0.618
O 0.350 0.769 0.256
O 0.376 0.042 0.565
O 0.435 0.384 0.976
O 0.495 0.698 0.586
O 0.495 0.835 0.791
O 0.505 0.165 0.209
O 0.505 0.302 0.414
O 0.565 0.616 0.024
O 0.624 0.958 0.435
O 0.650 0.231 0.744
O 0.670 0.513 0.382
O 0.688 0.739 0.143
O 0.694 0.527 0.825
O 0.704 0.376 0.232
O 0.705 0.848 0.923
O 0.726 0.037 0.621
O 0.763 0.331 0.022
O 0.794 0.012 0.242
O 0.795 0.048 0.018
O 0.795 0.732 0.650
O 0.797 0.474 0.633
O 0.806 0.748 0.380
O 0.811 0.242 0.429
O 0.878 0.604 0.014
O 0.934 0.940 0.429
O 0.950 0.199 0.826
O 0.982 0.824 0.795
O 0.996 0.521 0.757
CELL_PARAMETERS angstrom
8.251 0.000 0.000
1.586 9.392 0.000
1.738 3.521 11.486
! * DOS(E_F): 0.000 states/eV/cell

---

! GGA-PBEsol Zn3P2H8O12, optimized geometry; values from VASP
&SYSTEM
  ibrav = 0, nat = 100, ntyp = 4
/
ATOMIC_SPECIES
Zn 65.41 Zn.upf
P 30.97 P.upf
H 1.01 H.upf
O 16.00 O.upf
ATOMIC_POSITIONS crystal
Zn 0.144 0.003 0.226
Zn 0.144 0.497 0.226
Zn 0.232 0.750 0.592
Zn 0.268 0.250 0.092
Zn 0.356 0.503 0.726
Zn 0.356 0.997 0.726
Zn 0.644 0.003 0.274
Zn 0.644 0.497 0.274
Zn 0.732 0.750 0.908
Zn 0.768 0.250 0.408
Zn 0.856 0.503 0.774
Zn 0.856 0.997 0.774
P 0.105 0.595 0.729
P 0.105 0.905 0.729
P 0.395 0.095 0.229
P 0.395 0.405 0.229
P 0.605 0.595 0.771
P 0.605 0.905 0.771
P 0.895 0.095 0.271
P 0.895 0.405 0.271
H 0.106 0.142 0.962
H 0.106 0.358 0.962
H 0.117 0.709 0.134
H 0.117 0.791 0.134
H 0.135 0.209 0.517
H 0.135 0.291 0.517
H 0.242 0.134 0.834
H 0.242 0.366 0.834
H 0.258 0.634 0.334
H 0.258 0.866 0.334
H 0.365 0.709 0.017
H 0.365 0.791 0.017
H 0.383 0.209 0.634
H 0.383 0.291 0.634
H 0.394 0.642 0.462
H 0.394 0.858 0.462
H 0.606 0.142 0.538
H 0.606 0.358 0.538
H 0.617 0.709 0.366
H 0.617 0.791 0.366
H 0.635 0.209 0.983
H 0.635 0.291 0.983
H 0.742 0.134 0.666
H 0.742 0.366 0.666
H 0.758 0.634 0.166
H 0.758 0.866 0.166
H 0.865 0.709 0.483
H 0.865 0.791 0.483
H 0.883 0.209 0.866
H 0.883 0.291 0.866
H 0.894 0.642 0.038
H 0.894 0.858 0.038
O 0.032 0.080 0.175
O 0.032 0.420 0.175
O 0.109 0.750 0.265
O 0.119 0.586 0.414
O 0.119 0.914 0.414
O 0.131 0.250 0.387
O 0.146 0.668 0.819
O 0.146 0.832 0.819
O 0.170 0.168 0.851
O 0.170 0.332 0.851
O 0.190 0.535 0.861
O 0.190 0.965 0.861
O 0.310 0.035 0.361
O 0.310 0.465 0.361
O 0.330 0.668 0.351
O 0.330 0.832 0.351
O 0.354 0.168 0.319
O 0.354 0.332 0.319
O 0.369 0.750 0.887
O 0.381 0.086 0.914
O 0.381 0.414 0.914
O 0.391 0.250 0.765
O 0.468 0.580 0.675
O 0.468 0.920 0.675
O 0.532 0.080 0.325
O 0.532 0.420 0.325
O 0.609 0.750 0.235
O 0.619 0.586 0.086
O 0.619 0.914 0.086
O 0.631 0.250 0.113
O 0.646 0.668 0.681
O 0.646 0.832 0.681
O 0.670 0.168 0.649
O 0.670 0.332 0.649
O 0.690 0.535 0.639
O 0.690 0.965 0.639
O 0.810 0.035 0.139
O 0.810 0.465 0.139
O 0.830 0.668 0.149
O 0.830 0.832 0.149
O 0.854 0.168 0.181
O 0.854 0.332 0.181
O 0.869 0.750 0.613
O 0.881 0.086 0.586
O 0.881 0.414 0.586
O 0.891 0.250 0.735
O 0.968 0.580 0.825
O 0.968 0.920 0.825
CELL_PARAMETERS angstrom
10.652 0.000 0.000
0.000 18.785 0.000
0.000 0.000 4.882
! * DOS(E_F): 0.000 states/eV/cell

---

| no. | uncorrected energy (eV per atom) |
| --- | --- |
| 1 | -6.902 |
| 2 | -7.652 |
| 3 | -5.941 |
| 4 | -6.032 |
| 5 | -6.022 |
| 6 | -5.805 |
| 7 | -5.742 |